# 1
An optimized crystal structure of Re2BiC, computed with PBE-GGA.

Summary:
Uncorrected energy ... -29.75 eV per cell
Energy of formation ... 8.3 eV per formula unit
Energy relative to the lowest polymorph listed for this composition ... 1016 meV per atom

Structure (POSCAR):
```
Re2BiC
1.0
0.000 3.133 3.133
3.133 0.000 3.133
3.133 3.133 0.000
Re Bi C
2 1 1
Direct
0.250 0.250 0.250
0.750 0.750 0.750
0.000 0.000 0.000
0.500 0.500 0.500
```

=====

# 2
An optimized crystal structure of KVPbBr6, computed with PBE-GGA.

Summary:
E_form (uncorrected) ... -1066.1 meV per atom
Uncorrected energy ... -67.11 eV per cell

Structure (POSCAR):
```
KVPbBr6
1.0
7.399 0.000 0.000
-3.700 6.408 0.000
0.000 0.000 13.824
K V Pb Br
2 2 2 12
Direct
0.000 0.000 0.000
0.000 0.000 0.500
0.333 0.667 0.250
0.667 0.333 0.750
0.333 0.667 0.750
0.667 0.333 0.250
0.048 0.391 0.141
0.048 0.657 0.359
0.343 0.391 0.359
0.343 0.952 0.141
0.391 0.048 0.641
0.391 0.343 0.859
0.609 0.657 0.141
0.609 0.952 0.359
0.657 0.048 0.859
0.657 0.609 0.641
0.952 0.343 0.641
0.952 0.609 0.859
```

=====

# 3
An optimized crystal structure of AlNiRh, computed with PBE-GGA.

Summary:
Uncorrected energy ... -37.22 eV per cell
Energy of formation ... -1.7 eV per formula unit
Energy relative to the lowest polymorph listed for this composition ... 0 meV per atom

Structure (POSCAR):
```
AlNiRh
1.0
2.122 -3.662 0.000
2.122 3.662 0.000
0.000 0.000 5.022
Al Ni Rh
2 2 2
Direct
0.168 0.832 0.750
0.832 0.168 0.250
0.500 0.500 0.000
0.500 0.500 0.500
0.166 0.834 0.250
0.834 0.166 0.750
```

=====

# 4
An optimized crystal structure of Tb8Pm4Er, computed with PBE-GGA.

Summary:
Uncorrected energy ... -54.02 eV per cell
Energy of formation ... 6.6 eV per formula unit

Structure (POSCAR):
```
Tb8Pm4Er
1.0
5.523 3.189 4.500
-5.523 3.189 4.500
0.000 -6.378 4.500
Tb Pm Er
8 4 1
Direct
0.240 0.240 0.240
0.240 0.240 0.759
0.240 0.759 0.240
0.241 0.760 0.760
0.759 0.240 0.240
0.760 0.241 0.760
0.760 0.760 0.241
0.760 0.760 0.760
0.000 0.000 0.000
0.000 0.500 0.500
0.500 0.000 0.500
0.500 0.500 0.000
0.500 0.500 0.500
```

=====

# 5
An optimized crystal structure of ZrTcSb2, computed with PBE-GGA.

Summary:
E_form (uncorrected) ... -170.3 meV per atom
Uncorrected energy ... -27.84 eV per cell
Energy relative to the lowest polymorph listed for this composition ... 67 meV per atom

Structure (POSCAR):
```
ZrTcSb2
1.0
3.606 0.000 0.000
0.000 3.606 0.000
0.000 0.000 6.416
Zr Tc Sb
1 1 2
Direct
0.000 0.000 0.000
0.500 0.500 0.722
0.000 0.000 0.528
0.500 0.500 0.204
```

=====

# 6
An optimized crystal structure of RbBiS2O8, computed with PBE-GGA.

Summary:
E_form (uncorrected) ... -1543.1 meV per atom
Uncorrected energy ... -71.29 eV per cell

Structure (POSCAR):
```
RbBiS2O8
1.0
5.196 0.000 0.000
-2.598 4.500 0.000
0.000 0.000 8.875
Rb Bi S O
1 1 2 8
Direct
0.000 0.000 0.000
0.000 0.000 0.500
0.333 0.667 0.726
0.667 0.333 0.274
0.073 0.384 0.667
0.311 0.927 0.667
0.333 0.667 0.891
0.384 0.311 0.333
0.616 0.689 0.667
0.667 0.333 0.109
0.689 0.073 0.333
0.927 0.616 0.333
```

=====

> uncorrected energy of number 3 (AlNiRh)?

-37.22 eV per cell

=====

> What is the uncorrected energy in the fourth record?

-54.02 eV per cell

=====

> Which value of uncorrected energy does entry 2 give?

-67.11 eV per cell

=====

> Among the records above, which one has the highest uncorrected energy?

ZrTcSb2